# PBE with a Hubbard U Li3Mn2CuO6, relaxed
# ΔE to the lowest computed polymorph, kJ/mol of atoms: 0.0
# Uncorrected energy, eV for the cell shown: -146.2
# Density of states at the Fermi level, states/eV per atom: 0.103
data_Li3Mn2CuO6
_cell_length_a 2.828
_cell_length_b 7.607
_cell_length_c 11.414
_cell_angle_alpha 100.61
_cell_angle_beta 90.00
_cell_angle_gamma 100.70
_symmetry_space_group_name_H-M 'P 1'
_symmetry_Int_Tables_number 1
_symmetry_space_group_name_Hall 'P 1'
loop_
_atom_site_label
_atom_site_type_symbol
_atom_site_fract_x
_atom_site_fract_y
_atom_site_fract_z
Li1 Li 0.000 0.000 0.000
Li2 Li 0.009 0.018 0.520
Li3 Li 0.324 0.647 0.836
Li4 Li 0.349 0.697 0.350
Li5 Li 0.641 0.281 0.161
Li6 Li 0.652 0.305 0.675
Mn1 Mn 0.655 0.310 0.424
Mn2 Mn 0.664 0.328 0.926
Mn3 Mn 0.989 0.977 0.753
Mn4 Mn 0.996 0.990 0.255
Cu1 Cu 0.320 0.644 0.581
Cu2 Cu 0.337 0.669 0.090
O1 O 0.136 0.270 0.300
O2 O 0.148 0.294 0.038
O3 O 0.148 0.295 0.536
O4 O 0.168 0.335 0.810
O5 O 0.484 0.969 0.869
O6 O 0.490 0.977 0.370
O7 O 0.505 0.009 0.145
O8 O 0.506 0.012 0.643
O9 O 0.808 0.617 0.464
O10 O 0.820 0.636 0.976
O11 O 0.833 0.668 0.695
O12 O 0.862 0.721 0.211